{"formula": "PuZnCo2O8", "functional": "GGA+U", "state": "optimized geometry", "lattice": [[5.721, 0.377, 0.000], [-2.199, 5.295, 0.000], [-1.761, -2.836, 4.661]], "species": ["Pu", "Zn", "Co", "Co", "O", "O", "O", "O", "O", "O", "O", "O"], "frac_coords": [[0.250, 0.750, 0.500], [0.000, 0.000, 0.000], [0.750, 0.250, 0.500], [0.500, 0.500, 0.000], [0.384, 0.066, 0.317], [0.292, 0.496, 0.204], [0.292, 0.088, 0.796], [0.749, 0.066, 0.683], [0.912, 0.708, 0.204], [0.934, 0.251, 0.317], [0.934, 0.616, 0.683], [0.504, 0.708, 0.796]], "energy_ev_per_atom": -6.640, "m_tot_mub_per_fu": 4.00}